# 1
PtPb2W | meta-GGA SCAN | single point on PBEsol structure

Lattice parameters (Å, degrees): 4.8834 4.8834 4.8834 60.00 60.00 60.00
Last column: nearest neighbours and their distance in Å.
Fractional positions:
Pb  0.0000  0.0000  0.0000  4 W 2.99, 4 Pb 2.99
Pb  0.2500  0.2500  0.2500  4 Pb 2.99, 4 Pt 2.99
Pt  0.5000  0.5000  0.5000  4 Pb 2.99, 4 W 2.99
W  0.7500  0.7500  0.7500  4 Pb 2.99, 4 Pt 2.99

Results
As for the energy of formation from the pure elements: 1.0075 eV per atom. The calculation puts the total moment at 1.967 μB/f.u. Its space group is No. 216. The raw total energy comes out at -71.85 eV/atom. The value obtained for the density of states at the Fermi level is 0.968 states/eV per atom.

***

# 2
YPtPb2 | meta-GGA SCAN | single point on PBEsol structure

Lattice parameters (Å, degrees): 4.7395 4.5883 4.7023 90.00 101.39 90.00
Last column: nearest neighbours and their distance in Å.
Fractional positions:
Pb  0.7105  0.0000  0.7902  2 Pt 2.76, 3 Pb 3.05-3.07
Pb  0.2895  0.0000  0.2098  2 Pt 2.76, 3 Pb 3.05-3.07
Pt  0.5000  0.5000  0.0000  4 Pb 2.76, 2 Y 2.99
Y  0.0000  0.5000  0.5000  2 Pt 2.99, 4 Pb 3.12

Results
As for the energy of formation from the pure elements: -0.5693 eV per atom. The calculation puts the total moment at 0.000 μB/f.u. Its space group is No. 10. The raw total energy comes out at -62.97 eV/atom. The value obtained for the density of states at the Fermi level is 0.396 states/eV per atom. The energy relative to the lowest polymorph listed for this composition is 0.00 kcal/mol of atoms.

***

# 3
YPtPb2 | meta-GGA SCAN | single point on PBEsol structure

Lattice parameters (Å, degrees): 4.2769 4.2769 6.2506 109.57 109.57 91.21
Last column: nearest neighbours and their distance in Å.
Fractional positions:
Pb  0.5000  0.0000  0.5000  4 Pb 2.99-3.06, 2 Pt 3.14, 2 Y 3.14
Pb  0.0000  0.5000  0.5000  4 Pb 2.99-3.06, 2 Y 3.14, 2 Pt 3.14
Pt  0.5000  0.5000  0.0000  4 Y 2.99-3.06, 4 Pb 3.14
Y  0.0000  0.0000  0.0000  4 Pt 2.99-3.06, 4 Pb 3.14

Results
As for the energy of formation from the pure elements: -0.4259 eV per atom. The calculation puts the total moment at 0.000 μB/f.u. Its space group is No. 69. The raw total energy comes out at -62.83 eV/atom. The value obtained for the density of states at the Fermi level is 0.522 states/eV per atom. The energy relative to the lowest polymorph listed for this composition is 3.31 kcal/mol of atoms.

***

# 4
YPtPb2 | meta-GGA SCAN | single point on PBEsol structure

Lattice parameters (Å, degrees): 5.0530 5.0530 5.0530 60.00 60.00 60.00
Last column: nearest neighbours and their distance in Å.
Fractional positions:
Pb  0.2500  0.2500  0.2500  4 Y 3.09, 4 Pt 3.09
Pb  0.7500  0.7500  0.7500  4 Y 3.09, 4 Pt 3.09
Pt  0.0000  0.0000  0.0000  8 Pb 3.09
Y  0.5000  0.5000  0.5000  8 Pb 3.09

Results
As for the energy of formation from the pure elements: -0.2989 eV per atom. The calculation puts the total moment at 0.000 μB/f.u. Its space group is No. 225. The raw total energy comes out at -62.70 eV/atom. The value obtained for the density of states at the Fermi level is 0.567 states/eV per atom. The energy relative to the lowest polymorph listed for this composition is 6.23 kcal/mol of atoms.

***

# 5
YPt4Pb | meta-GGA SCAN | single point on PBEsol structure

Lattice parameters (Å, degrees): 5.3679 5.3679 5.3679 60.00 60.00 60.00
Last column: nearest neighbours and their distance in Å.
Fractional positions:
Pb  0.0000  0.0000  0.0000  12 Pt 3.15, 4 Y 3.29
Y  0.7500  0.7500  0.7500  12 Pt 3.15, 4 Pb 3.29
Pt  0.3751  0.3751  0.3751  6 Pt 2.68-2.69
Pt  0.3751  0.3751  0.8746  6 Pt 2.68-2.69
Pt  0.8746  0.3751  0.3751  6 Pt 2.68-2.69
Pt  0.3751  0.8746  0.3751  6 Pt 2.68-2.69

Results
As for the energy of formation from the pure elements: -0.7858 eV per atom. The calculation puts the total moment at 0.000 μB/f.u. Its space group is No. 216. The raw total energy comes out at -64.85 eV/atom. The value obtained for the density of states at the Fermi level is 0.694 states/eV per atom.

***

# 6
Zn2Pt2Pb | meta-GGA SCAN | single point on PBEsol structure

Lattice parameters (Å, degrees): 3.7304 3.7304 6.8259 105.86 105.86 90.00
Last column: nearest neighbours and their distance in Å.
Fractional positions:
Pb  0.0000  0.0000  0.0000  8 Pt 2.97
Zn  0.2500  0.7500  0.5000  4 Pt 2.57, 4 Zn 2.64
Zn  0.7500  0.2500  0.5000  4 Pt 2.57, 4 Zn 2.64
Pt  0.3908  0.3908  0.7817  4 Zn 2.57, 1 Pt 2.75
Pt  0.6092  0.6092  0.2183  4 Zn 2.57, 1 Pt 2.75

Results
As for the energy of formation from the pure elements: -0.3201 eV per atom. The calculation puts the total moment at 0.000 μB/f.u. Its space group is No. 139. The raw total energy comes out at -48.96 eV/atom. The value obtained for the density of states at the Fermi level is 0.375 states/eV per atom.